[1]
VASP calculation (GGA-PBE) on a relaxed La2Zn15Ir2 crystal.

Symmetry: R-3m
Formation enthalpy at 0 K: -0.273 eV per atom

POSCAR file:
```
La2Zn15Ir2
1.0
-3.933 -4.148 -3.811
-1.035 -4.809 4.796
-6.069 2.328 2.223
La Zn Ir
2 15 2
direct
0.335 0.335 0.335
0.665 0.665 0.665
0.500 0.000 0.000
0.000 0.000 0.500
0.000 0.500 0.000
0.000 0.721 0.279
0.721 0.279 0.000
0.279 0.000 0.721
0.279 0.721 0.000
0.721 0.000 0.279
0.000 0.279 0.721
0.150 0.653 0.653
0.653 0.653 0.150
0.653 0.150 0.653
0.850 0.347 0.347
0.347 0.347 0.850
0.347 0.850 0.347
0.110 0.110 0.110
0.890 0.890 0.890
```



[2]
VASP calculation (GGA-PBE) on a relaxed MoAsPIr2 crystal.

Symmetry: P4/mmm
Formation enthalpy at 0 K: 0.976 eV per atom

POSCAR file:
```
MoAsPIr2
1.0
-0.808 -1.781 -3.911
4.449 -1.762 -0.117
-1.396 -3.655 1.953
P Mo Ir As
1 1 2 1
direct
0.000 0.000 0.000
0.500 0.500 0.500
0.000 0.000 0.500
0.500 0.000 0.000
0.000 0.500 0.000
```



[3]
VASP calculation (GGA-PBE) on a relaxed ThAg7Se6 crystal.

Symmetry: R3
E_form (uncorrected): -390 meV per atom

POSCAR file:
```
ThAg7Se6
1.0
-1.211 -5.291 5.120
5.726 -2.859 3.836
0.678 2.249 7.921
Th Ag Se
1 7 6
direct
0.998 0.998 0.006
0.862 0.186 0.392
0.435 0.134 0.620
0.810 0.435 0.620
0.662 0.662 0.013
0.186 0.560 0.392
0.560 0.862 0.392
0.134 0.810 0.620
0.740 0.063 0.786
0.587 0.262 0.227
0.924 0.587 0.227
0.063 0.411 0.786
0.411 0.740 0.786
0.262 0.924 0.227
```



[4]
VASP calculation (GGA-PBE) on a relaxed NdY2NpAs4 crystal.

Symmetry: P2/m
Formation enthalpy at 0 K: -1.313 eV per atom

POSCAR file:
```
NdY2NpAs4
1.0
-0.535 3.004 -2.816
-7.144 -0.608 0.707
2.456 4.850 4.708
Nd Y Np As
1 2 1 4
direct
0.500 0.500 0.000
0.500 0.000 0.500
0.000 0.500 0.500
0.000 0.000 0.000
0.500 0.245 0.251
0.500 0.755 0.749
0.000 0.242 0.746
0.000 0.758 0.254
```



[5]
VASP calculation (GGA-PBE) on a relaxed Sm3Dy8Tm2 crystal.

Symmetry: C2/m
Formation enthalpy at 0 K: 0.020 eV per atom

POSCAR file:
```
Sm3Dy8Tm2
1.0
-4.873 0.173 -1.189
0.582 -7.159 -3.421
0.609 -11.026 6.500
Sm Dy Tm
3 8 2
direct
0.000 0.000 0.000
0.539 0.230 0.077
0.461 0.770 0.923
0.078 0.458 0.157
0.922 0.542 0.843
0.155 0.919 0.311
0.845 0.081 0.689
0.307 0.848 0.614
0.383 0.312 0.766
0.617 0.688 0.234
0.693 0.152 0.386
0.769 0.616 0.538
0.231 0.384 0.462
```



[6]
VASP calculation (GGA-PBE) on a relaxed CaMg2Sb crystal.

Symmetry: I4/mmm
E_form (uncorrected): -324 meV per atom

POSCAR file:
```
CaMg2Sb
1.0
6.118 -0.001 0.000
2.813 5.433 0.000
-4.466 -2.716 3.180
Ca Mg Sb
1 2 1
direct
0.750 0.250 0.500
0.000 0.000 0.000
0.500 0.500 0.000
0.250 0.750 0.500
```



[7]
VASP calculation (GGA-PBE) on a relaxed Ag2AsRu crystal.

Symmetry: Cm
Formation enthalpy at 0 K: 0.248 eV per atom

POSCAR file:
```
Ag2AsRu
1.0
-1.957 3.697 1.116
-2.197 1.546 3.396
4.242 2.507 2.814
Ru As Ag
1 1 2
direct
0.243 0.243 0.303
0.517 0.517 0.440
0.994 0.994 0.011
0.747 0.747 0.745
```



[8]
VASP calculation (GGA-PBE) on a relaxed Li3PrGa3 crystal.

Symmetry: Pm-3n
Formation enthalpy at 0 K: 0.081 eV per atom

POSCAR file:
```
Li3PrGa3
1.0
6.695 0.000 0.000
0.000 6.695 0.000
0.000 0.000 6.695
Pr Ga Li
2 6 6
direct
0.500 0.500 0.500
0.000 0.000 0.000
0.000 0.250 0.500
0.000 0.750 0.500
0.500 0.000 0.750
0.750 0.500 0.000
0.500 0.000 0.250
0.250 0.500 0.000
0.250 0.000 0.500
0.000 0.500 0.250
0.500 0.750 0.000
0.750 0.000 0.500
0.000 0.500 0.750
0.500 0.250 0.000
```



[9]
VASP calculation (GGA-PBE) on a relaxed Ta2VFe crystal.

Symmetry: I-42d
Formation enthalpy at 0 K: 0.534 eV per atom

POSCAR file:
```
Ta2VFe
1.0
6.917 0.000 0.000
0.000 6.917 0.000
3.458 3.458 2.693
Ta Fe V
4 2 2
direct
0.651 0.125 0.250
0.099 0.625 0.250
0.375 0.349 0.750
0.875 0.901 0.750
0.000 0.000 0.000
0.750 0.250 0.500
0.500 0.500 0.000
0.250 0.750 0.500
```



[10]
VASP calculation (GGA-PBE) on a relaxed K4Tl4Au crystal.

Symmetry: I-42m
Formation enthalpy at 0 K: -0.096 eV per atom

POSCAR file:
```
K4Tl4Au
1.0
6.522 0.000 0.000
-3.261 8.165 3.261
0.000 0.000 6.522
K Tl Au
4 4 1
direct
0.057 0.668 0.388
0.612 0.668 0.943
0.388 0.332 0.612
0.943 0.332 0.057
0.359 0.130 0.229
0.771 0.130 0.641
0.229 0.870 0.771
0.641 0.870 0.359
0.000 0.000 0.000
```



[11]
VASP calculation (GGA-PBE) on a relaxed ZrBCl2 crystal.

Symmetry: R-3m
E_form (uncorrected): 86 meV per atom

POSCAR file:
```
ZrBCl2
1.0
1.873 0.000 9.138
-0.937 1.622 9.138
-0.937 -1.622 9.138
B Zr Cl
1 1 2
direct
0.000 0.000 0.000
0.500 0.500 0.500
0.901 0.901 0.901
0.099 0.099 0.099
```



[12]
VASP calculation (GGA-PBE) on a relaxed LaTbCCl crystal.

Symmetry: R3m
E_form (uncorrected): -1059 meV per atom

POSCAR file:
```
LaTbCCl
1.0
3.716 0.000 0.000
-1.857 3.218 0.000
-1.858 -1.072 7.255
La Tb C Cl
1 1 1 1
direct
0.511 0.154 0.681
0.098 0.947 0.060
0.316 0.556 0.887
0.953 0.374 0.342
```



[13]
VASP calculation (GGA-PBE) on a relaxed LiAcCuPd3 crystal.

Symmetry: Cmcm
Formation enthalpy at 0 K: -0.413 eV per atom

POSCAR file:
```
LiAcCuPd3
1.0
-5.335 2.199 -1.159
-1.652 -0.932 5.836
2.871 6.217 -1.421
Li Ac Cu Pd
2 2 2 6
direct
0.250 0.929 0.858
0.750 0.071 0.142
0.750 0.307 0.614
0.250 0.693 0.386
0.250 0.360 0.719
0.750 0.640 0.281
0.250 0.152 0.304
0.000 0.278 0.000
0.500 0.722 0.000
0.500 0.278 0.000
0.000 0.722 0.000
0.750 0.848 0.696
```



[14]
VASP calculation (GGA-PBE) on a relaxed Nd8P6Br crystal.

Symmetry: P-3
E_form (uncorrected): -1270 meV per atom

POSCAR file:
```
Nd8P6Br
1.0
4.269 0.000 0.000
0.000 9.528 -5.501
0.000 0.000 11.002
Nd P Br
8 6 1
direct
0.745 0.964 0.331
0.745 0.669 0.633
0.745 0.367 0.036
0.255 0.036 0.669
0.255 0.331 0.367
0.255 0.633 0.964
0.748 0.333 0.667
0.252 0.667 0.333
0.753 0.665 0.141
0.753 0.859 0.523
0.753 0.477 0.335
0.247 0.335 0.859
0.247 0.141 0.477
0.247 0.523 0.665
0.500 0.000 0.000
```



[15]
VASP calculation (GGA-PBE) on a relaxed La3Pr4Nd2 crystal.

Symmetry: C2/m
Formation enthalpy at 0 K: 0.021 eV per atom

POSCAR file:
```
La3Pr4Nd2
1.0
-6.389 0.548 0.091
4.347 -10.775 -9.920
0.741 7.569 12.147
La Pr Nd
3 4 2
direct
0.557 0.667 0.444
0.000 0.000 0.000
0.443 0.333 0.556
0.222 0.666 0.778
0.778 0.334 0.222
0.111 0.334 0.889
0.889 0.666 0.111
0.666 0.000 0.334
0.334 0.000 0.666
```



[16]
VASP calculation (GGA-PBE) on a relaxed CrFeCo2 crystal.

Symmetry: Cmmm
Formation enthalpy at 0 K: 0.094 eV per atom

POSCAR file:
```
CrFeCo2
1.0
-2.019 -1.357 -0.215
1.941 -1.482 -0.044
-0.365 -0.714 7.950
Co Cr Fe
2 1 1
direct
0.000 0.000 0.999
0.000 0.000 0.501
0.500 0.500 0.250
0.500 0.500 0.750
```



[17]
VASP calculation (GGA-PBE) on a relaxed MnGaS3 crystal.

Symmetry: Pm-3m
E_form (uncorrected): 177 meV per atom

POSCAR file:
```
MnGaS3
1.0
4.488 0.000 0.000
0.000 4.488 0.000
0.000 0.000 4.488
S Mn Ga
3 1 1
direct
0.000 0.500 0.000
0.000 0.000 0.500
0.500 0.000 0.000
0.000 0.000 0.000
0.500 0.500 0.500
```



[18]
VASP calculation (GGA-PBE) on a relaxed DyHo2Ag2 crystal.

Symmetry: P2_1/m
Formation enthalpy at 0 K: -0.243 eV per atom

POSCAR file:
```
DyHo2Ag2
1.0
3.589 0.000 -0.481
0.000 5.231 0.000
-0.018 0.000 13.493
Dy Ho Ag
2 4 4
direct
0.854 0.750 0.709
0.146 0.250 0.291
0.047 0.750 0.095
0.953 0.250 0.905
0.235 0.750 0.469
0.765 0.250 0.531
0.642 0.750 0.284
0.358 0.250 0.716
0.453 0.750 0.906
0.547 0.250 0.094
```



[19]
VASP calculation (GGA-PBE) on a relaxed ZrSi2Ag crystal.

Symmetry: I-42d
E_form (uncorrected): 66 meV per atom

POSCAR file:
```
ZrSi2Ag
1.0
7.066 0.000 0.000
0.000 7.066 0.000
3.533 3.533 2.968
Si Zr Ag
4 2 2
direct
0.652 0.125 0.250
0.098 0.625 0.250
0.375 0.348 0.750
0.875 0.902 0.750
0.500 0.500 0.000
0.250 0.750 0.500
0.000 0.000 0.000
0.750 0.250 0.500
```



[20]
VASP calculation (GGA-PBE) on a relaxed La2Hg2O crystal.

Symmetry: I4/mmm
E_form (uncorrected): -75 meV per atom

POSCAR file:
```
La2Hg2O
1.0
-2.298 -1.632 -5.579
-3.018 -4.792 2.645
-5.596 -1.044 -0.891
Hg O La
2 1 2
direct
0.320 0.320 0.359
0.680 0.680 0.641
0.000 0.000 0.000
0.750 0.250 0.500
0.250 0.750 0.500
```



[21]
VASP calculation (GGA-PBE) on a relaxed BaZr2Ta4 crystal.

Symmetry: I4/mmm
Formation enthalpy at 0 K: 2.239 eV per atom

POSCAR file:
```
BaZr2Ta4
1.0
-3.178 3.718 -1.335
1.185 -0.738 -4.874
-6.226 -3.182 -3.668
Ba Zr Ta
1 2 4
direct
0.000 0.000 0.000
0.619 0.619 0.763
0.381 0.381 0.237
0.808 0.808 0.384
0.192 0.192 0.616
0.000 0.500 0.000
0.500 0.000 0.000
```



[22]
VASP calculation (GGA-PBE) on a relaxed LiAcYEr crystal.

Symmetry: F-43m
Formation enthalpy at 0 K: 0.266 eV per atom

POSCAR file:
```
LiAcYEr
1.0
-1.643 -2.389 -4.902
2.122 -5.050 -1.559
-3.322 -4.626 0.060
Y Ac Li Er
1 1 1 1
direct
0.750 0.750 0.750
0.500 0.500 0.500
0.000 0.000 0.000
0.250 0.250 0.250
```



[23]
VASP calculation (GGA-PBE) on a relaxed NaMo2I crystal.

Symmetry: I-42d
E_form (uncorrected): 946 meV per atom

POSCAR file:
```
NaMo2I
1.0
3.932 0.000 0.000
0.000 3.932 0.000
1.966 1.966 11.172
I Na Mo
2 2 4
direct
0.000 0.000 0.000
0.750 0.250 0.500
0.500 0.500 0.000
0.250 0.750 0.500
0.681 0.125 0.250
0.069 0.625 0.250
0.375 0.319 0.750
0.875 0.931 0.750
```



[24]
VASP calculation (GGA-PBE) on a relaxed Sr2CdAg3Sn4 crystal.

Symmetry: P-4m2
Formation enthalpy at 0 K: -0.357 eV per atom

POSCAR file:
```
Sr2CdAg3Sn4
1.0
-1.201 -2.310 -3.933
-2.955 -2.704 2.491
-8.828 7.871 -1.928
Sr Cd Ag Sn
2 1 3 4
direct
0.500 0.000 0.252
0.000 0.500 0.748
0.500 0.500 0.500
0.000 0.000 0.500
0.500 0.000 0.864
0.000 0.500 0.136
0.500 0.500 0.000
0.000 0.000 0.000
0.500 0.000 0.638
0.000 0.500 0.362
```